A geometry-optimized CaNd2Zr structure, computed with GGA-PBE.

abc: 3.565 3.565 10.328
angles: 90.00 90.00 90.00
Space group P4/mmm (No. 123)
Asymmetric unit:
1 Ca 0.000 0.000 0.000 (multiplicity 1)
2 Nd 0.500 0.500 0.282 (multiplicity 2)
3 Zr 0.000 0.000 0.500 (multiplicity 1)

Calculated values
Calculated total energy = -4.91 eV per atom
Crystal system = tetragonal


A geometry-optimized CaNd2Zr structure, computed with GGA-PBE.

abc: 3.5473 3.5473 35.8664
angles: 90.00 90.00 120.00
Space group R-3m (No. 166, hexagonal axes)
Asymmetric unit:
1 Ca 0.0000 0.0000 0.0000 (multiplicity 3)
2 Nd 0.0000 0.0000 0.2410 (multiplicity 6)
3 Zr 0.0000 0.0000 0.5000 (multiplicity 3)

Calculated values
Calculated total energy = -4.88 eV per atom
Crystal system = trigonal


A geometry-optimized CaNi structure, computed with GGA-PBE.

abc: 3.865 4.171 11.943
angles: 90.00 90.00 90.00
Space group Imma (No. 74)
Asymmetric unit:
1 Ca 0.000 0.250 0.124 (multiplicity 4)
2 Ni 0.000 0.250 0.702 (multiplicity 4)

Calculated values
Calculated total energy = -3.89 eV per atom
Crystal system = orthorhombic


A geometry-optimized CaNi2 structure, computed with GGA-PBE.

abc: 3.9291 3.9291 4.0774
angles: 90.00 90.00 120.00
Space group P6/mmm (No. 191)
Asymmetric unit:
1 Ca 0.0000 0.0000 0.0000 (multiplicity 1)
2 Ni 0.3333 0.6667 0.5000 (multiplicity 2)

Calculated values
Calculated total energy = -4.59 eV per atom
Crystal system = hexagonal


A geometry-optimized CaNi5 structure, computed with GGA-PBE.

abc: 7.851 8.536 4.946
angles: 90.00 90.00 90.00
Space group Imma (No. 74)
Asymmetric unit:
1 Ca 0.000 0.250 0.234 (multiplicity 4)
2 Ni 0.000 0.084 0.725 (multiplicity 8)
3 Ni 0.242 0.000 0.000 (multiplicity 8)
4 Ni 0.250 0.250 0.750 (multiplicity 4)

Calculated values
Calculated total energy = -5.26 eV per atom
Crystal system = orthorhombic


A geometry-optimized CaNi structure, computed with GGA-PBE.

abc: 6.228 6.228 6.228
angles: 90.00 90.00 90.00
Space group F-43m (No. 216)
Asymmetric unit:
1 Ca 0.000 0.000 0.000 (multiplicity 4)
2 Ni 0.250 0.250 0.250 (multiplicity 4)

Calculated values
Calculated total energy = -3.15 eV per atom
Crystal system = cubic


A geometry-optimized CaNi structure, computed with GGA-PBE.

abc: 5.488 5.488 5.488
angles: 90.00 90.00 90.00
Space group P2_13 (No. 198)
Asymmetric unit:
1 Ca 0.081 0.419 0.581 (multiplicity 4)
2 Ni 0.096 0.904 0.404 (multiplicity 4)

Calculated values
Calculated total energy = -3.72 eV per atom
Crystal system = cubic


A geometry-optimized CaNi2 structure, computed with GGA-PBE.

abc: 6.148 6.148 6.148
angles: 90.00 90.00 90.00
Space group Fm-3m (No. 225)
Asymmetric unit:
1 Ca 0.000 0.000 0.000 (multiplicity 4)
2 Ni 0.250 0.250 0.250 (multiplicity 8)

Calculated values
Calculated total energy = -3.68 eV per atom
Crystal system = cubic


A geometry-optimized Ca5Ni structure, computed with GGA-PBE.

abc: 6.7137 6.7137 6.3853
angles: 90.00 90.00 120.00
Space group P6/mmm (No. 191)
Asymmetric unit:
1 Ca 0.0000 0.5000 0.0000 (multiplicity 3)
2 Ca 0.3333 0.6667 0.5000 (multiplicity 2)
3 Ni 0.0000 0.0000 0.5000 (multiplicity 1)

Calculated values
Calculated total energy = -1.90 eV per atom
Crystal system = hexagonal


A geometry-optimized CaNi structure, computed with GGA-PBE.

abc: 10.322 4.152 6.058
angles: 90.00 92.11 90.00
Space group C2/m (No. 12)
Asymmetric unit:
1 Ca 0.000 0.000 0.000 (multiplicity 2)
2 Ca 0.219 0.500 0.282 (multiplicity 4)
3 Ni 0.000 0.000 0.500 (multiplicity 2)
4 Ni 0.067 0.500 0.668 (multiplicity 4)

Calculated values
Calculated total energy = -3.99 eV per atom
Crystal system = monoclinic


A geometry-optimized CaNi2 structure, computed with GGA-PBE.

abc: 4.633 14.174 2.956
angles: 90.00 90.00 90.00
Space group Cmcm (No. 63)
Asymmetric unit:
1 Ca 0.000 0.112 0.250 (multiplicity 4)
2 Ni 0.000 0.285 0.750 (multiplicity 4)
3 Ni 0.000 0.432 0.250 (multiplicity 4)

Calculated values
Calculated total energy = -4.33 eV per atom
Crystal system = orthorhombic


A geometry-optimized CaNi5 structure, computed with GGA-PBE.

abc: 4.9317 4.9317 3.9372
angles: 90.00 90.00 120.00
Space group P6/mmm (No. 191)
Asymmetric unit:
1 Ca 0.0000 0.0000 0.0000 (multiplicity 1)
2 Ni 0.0000 0.5000 0.5000 (multiplicity 3)
3 Ni 0.3333 0.6667 0.0000 (multiplicity 2)

Calculated values
Calculated total energy = -5.26 eV per atom
Crystal system = hexagonal